Entry 1:
## Ac3SbP2Pt9 (PBE-GGA)

Data for Ac3SbP2Pt9 after structural relaxation.

Computed properties:
DOS at the Fermi energy: 3.6 states/eV/f.u.
Total magnetic moment: 0.0 μB per cell
VASP energy: -93.0 eV/cell

Cell: 7.3652 7.3652 7.0819 Å, 90.00 90.00 120.00°
Space group P-3m1 (No. 164)
Asymmetric unit:
Ac: 0.0000 0.0000 0.0000 (multiplicity 1)
Ac: 0.3333 0.6667 0.6620 (multiplicity 2)
Sb: 0.0000 0.0000 0.5000 (multiplicity 1)
P: 0.3333 0.6667 0.1354 (multiplicity 2)
Pt: 0.0000 0.5000 0.0000 (multiplicity 3)
Pt: 0.1801 0.3602 0.3131 (multiplicity 6)

---

Entry 2:
## Ac2ScP3Pt4 (PBE-GGA)

Data for Ac2ScP3Pt4 after structural relaxation.

Computed properties:
DOS at the Fermi energy: 3.3 states/eV/f.u.
Energy relative to the elements: -1009 meV per atom
Total magnetic moment: 0.0 μB per cell

Cell: 4.302 4.302 10.768 Å, 90.00 90.00 90.00°
Space group P-4m2 (No. 115)
Asymmetric unit:
Ac: 0.000 0.500 0.231 (multiplicity 2)
Sc: 0.000 0.000 0.500 (multiplicity 1)
P: 0.000 0.500 0.873 (multiplicity 2)
P: 0.500 0.500 0.500 (multiplicity 1)
Pt: 0.000 0.000 0.000 (multiplicity 1)
Pt: 0.000 0.500 0.646 (multiplicity 2)
Pt: 0.500 0.500 0.000 (multiplicity 1)

---

What is the total magnetic moment in the first record?
0.0 μB per cell